Entry from the Alexandria database: CrCo4H after structural relaxation (PBE).

Cell lengths 6.3479, 6.3479, 4.9918 Å; angles 90.00, 90.00, 145.16 degrees
With the nearest neighbours (Å) after each atom.
Element x y z (fractional)
Cr: 0.1087 0.8913 0.7500  13 Co 2.50-2.65
Cr: 0.8913 0.1087 0.2500  13 Co 2.50-2.65
Co: 0.1048 0.8952 0.2500  2 H 1.90
Co: 0.3009 0.6991 0.0025  1 H 1.76
Co: 0.3009 0.6991 0.4975  1 H 1.76
Co: 0.5000 0.5000 0.0000  2 H 1.72
Co: 0.5000 0.5000 0.5000  2 H 1.72
Co: 0.6991 0.3009 0.5025  1 H 1.76
Co: 0.6991 0.3009 0.9975  1 H 1.76
Co: 0.8952 0.1048 0.7500  2 H 1.90
H: 0.4028 0.5972 0.7500  6 Co 1.72-1.90
H: 0.5972 0.4028 0.2500  6 Co 1.72-1.90

Space-group type = Cmcm
Energy = -6.7935 eV per atom